Entry from Alexandria: LaCd3Br after structural relaxation (GGA-PBE).

```
LaCd3Br
1.0
6.4272 0.0000 0.0000
0.0000 6.4272 0.0000
0.0000 0.0000 6.4272
La Cd Br
1 3 1
direct
0.0000 0.0000 0.0000
0.0000 0.0000 0.5000
0.0000 0.5000 0.0000
0.5000 0.0000 0.0000
0.5000 0.5000 0.5000
```

Summary:
The raw formation energy is 201 kJ/mol of formula units. The total energy is -1.452 eV per atom. The value obtained for the calculated volume is 265.5 Å³ per cell. The value obtained for the total magnetization is 0.56 μB/f.u. Its offset from the most stable computed form is 91 meV/atom.